(1)
Here is a relaxed Pa2Co3CuGe4 crystal from the Alexandria database. Energies are from GGA-PBE.

The space group is P-4m2 (No. 115) and the conventional cell measures 4.079, 4.079 and 9.622 Å, with angles of 90.00, 90.00 and 90.00 degrees. The asymmetric unit holds Pa at (0.000, 0.500, 0.249), Co at (0.000, 0.500, 0.873), Co at (0.500, 0.500, 0.500), Cu at (0.000, 0.000, 0.500), Ge at (0.000, 0.000, 0.000), Ge at (0.000, 0.500, 0.635) and Ge at (0.500, 0.500, 0.000).

The total magnetization comes out at 0.45 μB/cell. The calculation puts the energy of formation from the pure elements at -497 meV/atom. For the density of states at the Fermi level, the calculation gives 0.627 states/eV per atom.

=====

(2)
Here is a relaxed PaCoCuGe crystal from the Alexandria database. Energies are from GGA-PBE.

The space group is F-43m (No. 216) and the conventional cell measures 6.393, 6.393 and 6.393 Å, with angles of 90.00, 90.00 and 90.00 degrees. The asymmetric unit holds Pa at (0.000, 0.000, 0.000), Co at (0.250, 0.250, 0.250), Cu at (0.250, 0.250, 0.750) and Ge at (0.000, 0.000, 0.500).

The total magnetization comes out at 0.00 μB/cell. The calculation puts the energy of formation from the pure elements at -188 meV/atom. For the density of states at the Fermi level, the calculation gives 1.065 states/eV per atom.

=====

(3)
Here is a relaxed PmCoCuGe crystal from the Alexandria database. Energies are from GGA-PBE.

The space group is F-43m (No. 216) and the conventional cell measures 6.452, 6.452 and 6.452 Å, with angles of 90.00, 90.00 and 90.00 degrees. The asymmetric unit holds Pm at (0.000, 0.000, 0.000), Co at (0.250, 0.250, 0.750), Cu at (0.250, 0.250, 0.250) and Ge at (0.000, 0.000, 0.500).

The total magnetization comes out at 4.45 μB/cell. The calculation puts the energy of formation from the pure elements at -115 meV/atom. For the density of states at the Fermi level, the calculation gives 0.787 states/eV per atom.

=====

(4)
Here is a relaxed Pm2CoCu3Ge4 crystal from the Alexandria database. Energies are from GGA-PBE.

The space group is P-4m2 (No. 115) and the conventional cell measures 4.146, 4.146 and 10.134 Å, with angles of 90.00, 90.00 and 90.00 degrees. The asymmetric unit holds Pm at (0.000, 0.500, 0.243), Co at (0.500, 0.500, 0.000), Cu at (0.000, 0.000, 0.000), Cu at (0.000, 0.500, 0.636), Ge at (0.000, 0.000, 0.500), Ge at (0.000, 0.500, 0.875) and Ge at (0.500, 0.500, 0.500).

The total magnetization comes out at 0.50 μB/cell. The calculation puts the energy of formation from the pure elements at -495 meV/atom. For the density of states at the Fermi level, the calculation gives 0.569 states/eV per atom.

=====

(5)
Here is a relaxed Pr2CoCu3Ge4 crystal from the Alexandria database. Energies are from GGA-PBE.

The space group is P-4m2 (No. 115) and the conventional cell measures 4.204, 4.204 and 10.077 Å, with angles of 90.00, 90.00 and 90.00 degrees. The asymmetric unit holds Pr at (0.000, 0.500, 0.243), Co at (0.500, 0.500, 0.000), Cu at (0.000, 0.000, 0.000), Cu at (0.000, 0.500, 0.634), Ge at (0.000, 0.000, 0.500), Ge at (0.000, 0.500, 0.877) and Ge at (0.500, 0.500, 0.500).

The total magnetization comes out at 0.72 μB/cell. The calculation puts the energy of formation from the pure elements at -492 meV/atom. For the density of states at the Fermi level, the calculation gives 0.644 states/eV per atom.

=====

(6)
Here is a relaxed Pr2Co3CuGe4 crystal from the Alexandria database. Energies are from GGA-PBE.

The space group is P-4m2 (No. 115) and the conventional cell measures 4.186, 4.186 and 9.776 Å, with angles of 90.00, 90.00 and 90.00 degrees. The asymmetric unit holds Pr at (0.000, 0.500, 0.246), Co at (0.000, 0.500, 0.878), Co at (0.500, 0.500, 0.500), Cu at (0.000, 0.000, 0.500), Ge at (0.000, 0.000, 0.000), Ge at (0.000, 0.500, 0.636) and Ge at (0.500, 0.500, 0.000).

The total magnetization comes out at 0.97 μB/cell. The calculation puts the energy of formation from the pure elements at -519 meV/atom. For the density of states at the Fermi level, the calculation gives 0.840 states/eV per atom.